BeTe3: relaxed, PBE.

The calculation puts the excess energy over the best structure of this formula in the dataset at 331 meV/atom. Its calculated volume is 99.7 Å³ per cell. As for the space-group type: P4/mmm, No. 123. For the energy relative to the elements, uncorrected, the calculation gives 0.358 eV per atom.

Cell lengths 3.408, 3.408, 8.580 Å; angles 90.00, 90.00, 90.00 degrees
Fractional coordinates of all 4 atoms:
Be (0.000, 0.000, 0.000)
Te (0.000, 0.000, 0.500)
Te (0.500, 0.500, 0.167)
Te (0.500, 0.500, 0.833)

=====

Te2H2Au: relaxed, PBE.

The calculation puts the excess energy over the best structure of this formula in the dataset at 0 meV/atom. Its calculated volume is 108.6 Å³ per cell. As for the space-group type: P-1, No. 2.

Cell lengths 3.271, 4.735, 7.231 Å; angles 96.80, 102.42, 90.04 degrees
Fractional coordinates of all 5 atoms:
Te (0.149, 0.216, 0.301)
Te (0.851, 0.784, 0.699)
H (0.082, 0.865, 0.165)
H (0.918, 0.135, 0.835)
Au (0.000, 0.500, 0.000)

=====

Uncorrected energy for the records above, in order: -2.930, -3.144 eV/atom